[1]
Compound: Sc2CdPb
Source: Alexandria
Functional: PBEsol
Structure: relaxed

Summary:
- V: 24.78 A^3/atom
- Calculated total energy: -4.499 eV per atom
- D(E_F): 4.48 states/eV/f.u.
- Density: 6.9 g cm⁻³

Geometry as POSCAR:
```
Sc2CdPb
1.0
1.6093 0.9291 11.0475
-1.6093 0.9291 11.0475
0.0000 -1.8583 11.0475
Sc Cd Pb
2 1 1
Cartesian
0.0000 0.0000 2.9904
0.0000 0.0000 30.1523
0.0000 0.0000 0.0000
0.0000 0.0000 16.5713
```


[2]
Compound: Sc2CdPb
Source: Alexandria
Functional: PBEsol
Structure: relaxed

Summary:
- V: 21.96 A^3/atom
- Calculated total energy: -4.964 eV per atom
- D(E_F): 2.91 states/eV/f.u.
- Density: 7.7 g cm⁻³

Geometry as POSCAR:
```
Sc2CdPb
1.0
3.2342 -4.2187 0.0000
3.2342 4.2187 0.0000
0.0000 0.0000 3.2185
Sc Cd Pb
2 1 1
Cartesian
1.6171 2.1093 0.0000
1.6171 -2.1093 0.0000
0.0000 0.0000 1.6092
3.2342 0.0000 1.6092
```


[3]
Compound: ScCd2Pb
Source: Alexandria
Functional: PBEsol
Structure: relaxed

Summary:
- V: 22.69 A^3/atom
- Calculated total energy: -3.323 eV per atom
- D(E_F): 2.53 states/eV/f.u.
- Density: 8.7 g cm⁻³

Geometry as POSCAR:
```
ScCd2Pb
1.0
0.0000 3.5669 3.5669
3.5669 0.0000 3.5669
3.5669 3.5669 0.0000
Sc Cd Pb
1 2 1
Cartesian
0.0000 0.0000 0.0000
1.7835 1.7835 1.7835
3.5669 3.5669 3.5669
5.3504 5.3504 5.3504
```


[4]
Compound: ScCd2Pb
Source: Alexandria
Functional: PBEsol
Structure: relaxed

Summary:
- V: 22.28 A^3/atom
- Calculated total energy: -3.470 eV per atom
- D(E_F): 2.54 states/eV/f.u.
- Density: 8.9 g cm⁻³

Geometry as POSCAR:
```
ScCd2Pb
1.0
-2.1372 2.1372 4.8787
2.1372 -2.1372 4.8787
2.1372 2.1372 -4.8787
Sc Cd Pb
1 2 1
Cartesian
0.0000 0.0000 0.0000
2.1372 0.0000 2.4393
0.0000 2.1372 2.4393
0.0000 0.0000 4.8787
```


| no. | DFT formation energy (eV per atom) |
| --- | --- |
| 1 | 0.10 |
| 2 | -0.36 |
| 3 | -0.07 |
| 4 | -0.22 |